A relaxed structure of RbP2RuO8. Source: the Alexandria database, functional PBE-GGA.

extended XYZ file:
```
12
Lattice="5.1990 0.0000 0.0000 2.5995 4.5025 0.0000 2.5995 1.5008 8.6516" Properties=species:S:1:pos:R:3 pbc="T T T"
O 3.8562 2.2263 3.1642
O 2.5995 1.5008 1.1184
Ru 5.1990 3.0016 4.3258
O 7.7985 4.5025 7.5332
O 6.5418 2.2264 3.1642
O 3.8562 3.7770 5.4874
O 6.5418 3.7768 5.4874
P 7.7985 4.5025 6.0320
Rb 0.0000 0.0000 0.0000
O 5.1989 1.4511 5.4874
O 5.1989 4.5522 3.1642
P 2.5995 1.5008 2.6196
```

Output
The calculation puts the volume at 202.5 Å³/cell. As for the energy relative to the elements, uncorrected: -1.74 eV/atom. As for the space-group type: R-3m.